Entry 1:
Computed, not measured: a relaxed structure of AcNp2NiP4 at the PBE level of DFT.

The structure in POSCAR format:
```
AcNp2NiP4
1.0
1.9995 -6.5904 0.0000
1.9995 6.5904 0.0000
0.0000 0.0000 13.1795
Ac Np Ni P
2 4 2 8
direct
0.1044 0.8956 0.7500
0.8956 0.1044 0.2500
0.3678 0.6322 0.5564
0.3678 0.6322 0.9436
0.6322 0.3678 0.0564
0.6322 0.3678 0.4436
0.1583 0.8417 0.2500
0.8417 0.1583 0.7500
0.0000 0.0000 0.0000
0.0000 0.0000 0.5000
0.2615 0.7385 0.1162
0.2615 0.7385 0.3838
0.4273 0.5727 0.7500
0.5727 0.4273 0.2500
0.7385 0.2615 0.6162
0.7385 0.2615 0.8838
```

* D(E_F): 38.22 states/eV/cell
* total magnetic moment: 0.6751 μB/atom
* space group: Cmcm (63)
* DFT total energy: -8.0867 eV/atom

Entry 2:
Computed, not measured: a relaxed structure of Ac2NpNiS6 at the PBE level of DFT.

The structure in POSCAR format:
```
Ac2NpNiS6
1.0
6.6743 0.0000 0.0000
0.0000 9.9350 0.0000
0.0000 0.0000 7.1308
Ac Np Ni S
4 2 2 12
direct
0.2500 0.0376 0.2087
0.2500 0.4624 0.2087
0.7500 0.5376 0.7913
0.7500 0.9624 0.7913
0.2500 0.2500 0.7232
0.7500 0.7500 0.2768
0.2500 0.7500 0.7713
0.7500 0.2500 0.2287
0.0022 0.7500 0.5481
0.0113 0.7500 0.0071
0.2500 0.5102 0.7772
0.2500 0.9898 0.7772
0.4887 0.7500 0.0071
0.4978 0.7500 0.5481
0.5022 0.2500 0.4519
0.5113 0.2500 0.9929
0.7500 0.0102 0.2228
0.7500 0.4898 0.2228
0.9887 0.2500 0.9929
0.9978 0.2500 0.4519
```

* D(E_F): 25.09 states/eV/cell
* total magnetic moment: 0.4172 μB/atom
* ΔE_f (raw): -1.3546 eV per atom
* space group: Pmmn (59)
* DFT total energy: -6.5249 eV/atom

Entry 3:
Computed, not measured: a relaxed structure of AcNp4Ni3S12 at the PBE level of DFT.

The structure in POSCAR format:
```
AcNp4Ni3S12
1.0
-4.7963 4.7963 4.7963
4.7963 -4.7963 4.7963
4.7963 4.7963 -4.7963
Ac Np Ni S
1 4 3 12
direct
0.0000 0.0000 0.0000
0.0000 0.0000 0.5000
0.0000 0.5000 0.0000
0.5000 0.0000 0.0000
0.5000 0.5000 0.5000
0.0000 0.5000 0.5000
0.5000 0.0000 0.5000
0.5000 0.5000 0.0000
0.1526 0.3181 0.4707
0.1526 0.6819 0.8345
0.1655 0.8474 0.3181
0.3181 0.1655 0.8474
0.3181 0.4707 0.1526
0.4707 0.1526 0.3181
0.5293 0.8474 0.6819
0.6819 0.5293 0.8474
0.6819 0.8345 0.1526
0.8345 0.1526 0.6819
0.8474 0.3181 0.1655
0.8474 0.6819 0.5293
```

* D(E_F): 42.01 states/eV/cell
* total magnetic moment: 0.6530 μB/atom
* ΔE_f (raw): -0.9719 eV per atom
* space group: Im-3 (204)
* DFT total energy: -7.1091 eV/atom